Compound: K2SiAgBi
Source: Alexandria
Functional: PBE
Structure: relaxed

Cell lengths 6.458, 6.458, 4.647 Å; angles 90.00, 90.00, 90.00 degrees
Space group P4/mmm (No. 123)
One atom of each set of equivalent atoms:
K: 0.000 0.500 0.000
Si: 0.000 0.000 0.000
Ag: 0.000 0.000 0.500
Bi: 0.500 0.500 0.500

* E_tot: -2.51 eV per atom
* ρ: 3.62 Mg/m³